# Pm2Nd4DySc | the Alexandria database | GGA-PBE | relaxed
# Size of the total moment (μB/cell): 0.00
# DFT formation energy (meV per atom): 29
data_Pm2Nd4DySc
_cell_length_a 5.103
_cell_length_b 5.127
_cell_length_c 10.112
_cell_angle_alpha 90.00
_cell_angle_beta 90.05
_cell_angle_gamma 90.00
_symmetry_space_group_name_H-M 'P 1'
_symmetry_Int_Tables_number 1
loop_
_symmetry_equiv_pos_as_xyz
'x,y,z'
loop_
_atom_site_label
_atom_site_type_symbol
_atom_site_fract_x
_atom_site_fract_y
_atom_site_fract_z
Pm1 Pm 0.000 0.000 0.000
Pm2 Pm 0.500 0.500 0.500
Nd1 Nd 0.000 0.500 0.245
Nd2 Nd 0.000 0.500 0.755
Nd3 Nd 0.500 0.000 0.246
Nd4 Nd 0.500 0.000 0.754
Dy1 Dy 0.000 0.000 0.500
Sc1 Sc 0.500 0.500 0.000



# PmNdDy2Sc4 | the Alexandria database | GGA-PBE | relaxed
# Size of the total moment (μB/cell): 6.80
# DFT formation energy (meV per atom): 427
data_PmNdDy2Sc4
_cell_length_a 9.133
_cell_length_b 9.133
_cell_length_c 6.548
_cell_angle_alpha 111.01
_cell_angle_beta 111.01
_cell_angle_gamma 88.26
_symmetry_space_group_name_H-M 'P 1'
_symmetry_Int_Tables_number 1
loop_
_symmetry_equiv_pos_as_xyz
'x,y,z'
loop_
_atom_site_label
_atom_site_type_symbol
_atom_site_fract_x
_atom_site_fract_y
_atom_site_fract_z
Pm1 Pm 0.000 0.500 0.000
Pm2 Pm 0.500 0.000 0.500
Nd1 Nd 0.000 0.000 0.000
Nd2 Nd 0.000 0.000 0.500
Dy1 Dy 0.000 0.500 0.500
Dy2 Dy 0.500 0.000 0.000
Dy3 Dy 0.500 0.500 0.000
Dy4 Dy 0.500 0.500 0.500
Sc1 Sc 0.252 0.253 0.503
Sc2 Sc 0.252 0.747 0.999
Sc3 Sc 0.253 0.252 0.003
Sc4 Sc 0.253 0.748 0.501
Sc5 Sc 0.747 0.252 0.499
Sc6 Sc 0.747 0.748 0.997
Sc7 Sc 0.748 0.253 0.001
Sc8 Sc 0.748 0.747 0.497



# PmNd4Dy2Sc | the Alexandria database | GGA-PBE | relaxed
# Size of the total moment (μB/cell): 0.00
# DFT formation energy (meV per atom): 27
data_PmNd4Dy2Sc
_cell_length_a 5.087
_cell_length_b 5.106
_cell_length_c 10.064
_cell_angle_alpha 90.00
_cell_angle_beta 90.00
_cell_angle_gamma 90.00
_symmetry_space_group_name_H-M 'P 1'
_symmetry_Int_Tables_number 1
loop_
_symmetry_equiv_pos_as_xyz
'x,y,z'
loop_
_atom_site_label
_atom_site_type_symbol
_atom_site_fract_x
_atom_site_fract_y
_atom_site_fract_z
Pm1 Pm 0.000 0.000 0.000
Nd1 Nd 0.000 0.500 0.247
Nd2 Nd 0.000 0.500 0.753
Nd3 Nd 0.500 0.000 0.247
Nd4 Nd 0.500 0.000 0.753
Dy1 Dy 0.000 0.000 0.500
Dy2 Dy 0.500 0.500 0.500
Sc1 Sc 0.500 0.500 0.000



Which value of size of the total moment does entry 1 give? 0.00 μB/cell